Entry 1:
## Tm2Pd5Au5 (PBE)

Data for crystalline Tm2Pd5Au5 at its relaxed geometry.

Calculated values
density = 14.48 g/cm3
E_tot = -0.17972 Ha/atom
magnetization = 0.00 μB per atom

a b c (Å): 4.064 6.586 9.310
angles (deg): 114.85 90.00 107.97
Sites, in units of the cell vectors:
Tm (0.083, 0.166, 0.754)
Tm (0.917, 0.834, 0.246)
Pd (0.500, 0.000, 0.500)
Pd (0.664, 0.329, 0.002)
Pd (0.580, 0.160, 0.248)
Pd (0.420, 0.840, 0.752)
Pd (0.336, 0.671, 0.998)
Au (0.167, 0.333, 0.498)
Au (0.752, 0.504, 0.755)
Au (0.248, 0.496, 0.245)
Au (0.833, 0.667, 0.502)
Au (0.000, 0.000, 0.000)



Entry 2:
## Tm3Pd5Au (PBE)

Data for crystalline Tm3Pd5Au at its relaxed geometry.

Calculated values
density = 12.05 g/cm3
E_tot = -0.20681 Ha/atom
magnetization = 0.00 μB per atom

a b c (Å): 5.684 8.318 8.318
angles (deg): 120.00 90.00 90.00
Sites, in units of the cell vectors:
Tm (0.750, 0.349, 0.349)
Tm (0.750, 0.000, 0.651)
Tm (0.750, 0.651, 0.000)
Tm (0.250, 0.651, 0.651)
Tm (0.250, 0.000, 0.349)
Tm (0.250, 0.349, 0.000)
Pd (0.000, 0.667, 0.333)
Pd (0.500, 0.333, 0.667)
Pd (0.000, 0.333, 0.667)
Pd (0.500, 0.667, 0.333)
Pd (0.750, 0.679, 0.679)
Pd (0.750, 0.000, 0.321)
Pd (0.750, 0.321, 0.000)
Pd (0.250, 0.321, 0.321)
Pd (0.250, 0.000, 0.679)
Pd (0.250, 0.679, 0.000)
Au (0.000, 0.000, 0.000)
Au (0.500, 0.000, 0.000)



Entry 3:
## TmPd6Au (PBE)

Data for crystalline TmPd6Au at its relaxed geometry.

Calculated values
density = 12.56 g/cm3
E_tot = -0.19612 Ha/atom
magnetization = 0.00 μB per atom

a b c (Å): 4.092 5.698 5.698
angles (deg): 90.00 90.00 90.00
Sites, in units of the cell vectors:
Tm (0.500, 0.000, 0.000)
Pd (0.000, 0.747, 0.253)
Pd (0.000, 0.253, 0.747)
Pd (0.000, 0.747, 0.747)
Pd (0.000, 0.253, 0.253)
Pd (0.500, 0.500, 0.000)
Pd (0.500, 0.000, 0.500)
Au (0.500, 0.500, 0.500)



Entry 4:
## Tm3PdAu (PBE)

Data for crystalline Tm3PdAu at its relaxed geometry.

Calculated values
density = 10.63 g/cm3
E_tot = -0.18544 Ha/atom
magnetization = 0.00 μB per atom

a b c (Å): 4.083 7.060 8.786
angles (deg): 90.00 90.00 90.00
Sites, in units of the cell vectors:
Tm (0.750, 0.750, 0.057)
Tm (0.250, 0.250, 0.943)
Tm (0.750, 0.994, 0.677)
Tm (0.750, 0.506, 0.677)
Tm (0.250, 0.006, 0.323)
Tm (0.250, 0.494, 0.323)
Pd (0.750, 0.750, 0.413)
Pd (0.250, 0.250, 0.587)
Au (0.750, 0.250, 0.171)
Au (0.250, 0.750, 0.829)



Entry 5:
## Tm2Pd9Au (PBE)

Data for crystalline Tm2Pd9Au at its relaxed geometry.

Calculated values
density = 12.29 g/cm3
E_tot = -0.20316 Ha/atom
magnetization = 0.00 μB per atom

a b c (Å): 4.050 4.050 12.294
angles (deg): 90.00 90.00 90.00
Sites, in units of the cell vectors:
Tm (0.000, 0.000, 0.330)
Tm (0.000, 0.000, 0.670)
Pd (0.500, 0.500, 0.000)
Pd (0.500, 0.500, 0.333)
Pd (0.500, 0.500, 0.667)
Pd (0.500, 0.000, 0.164)
Pd (0.500, 0.000, 0.500)
Pd (0.500, 0.000, 0.836)
Pd (0.000, 0.500, 0.164)
Pd (0.000, 0.500, 0.500)
Pd (0.000, 0.500, 0.836)
Au (0.000, 0.000, 0.000)



Entry 6:
## Tm3Pd6Au (PBE)

Data for crystalline Tm3Pd6Au at its relaxed geometry.

Calculated values
density = 11.51 g/cm3
E_tot = -0.20205 Ha/atom
magnetization = 0.00 μB per atom

a b c (Å): 5.070 8.931 8.931
angles (deg): 106.72 90.00 90.00
Sites, in units of the cell vectors:
Tm (0.458, 0.921, 0.711)
Tm (0.958, 0.711, 0.921)
Tm (0.110, 0.374, 0.626)
Tm (0.610, 0.626, 0.374)
Tm (0.958, 0.079, 0.289)
Tm (0.458, 0.289, 0.079)
Pd (0.089, 0.681, 0.585)
Pd (0.589, 0.585, 0.681)
Pd (0.415, 0.546, 0.959)
Pd (0.915, 0.959, 0.546)
Pd (0.272, 0.978, 0.022)
Pd (0.599, 0.267, 0.733)
Pd (0.099, 0.733, 0.267)
Pd (0.772, 0.022, 0.978)
Pd (0.415, 0.041, 0.454)
Pd (0.915, 0.454, 0.041)
Pd (0.089, 0.415, 0.319)
Pd (0.589, 0.319, 0.415)
Au (0.081, 0.172, 0.828)
Au (0.581, 0.828, 0.172)



Entry 7:
## TmPd4Au3 (PBE)

Data for crystalline TmPd4Au3 at its relaxed geometry.

Calculated values
density = 13.57 g/cm3
E_tot = -0.17272 Ha/atom
magnetization = 0.00 μB per atom

a b c (Å): 6.151 6.151 6.151
angles (deg): 78.91 127.31 125.89
Sites, in units of the cell vectors:
Tm (0.296, 0.500, 0.796)
Pd (0.095, 0.759, 0.854)
Pd (0.095, 0.241, 0.336)
Pd (0.571, 0.248, 0.323)
Pd (0.076, 0.752, 0.323)
Au (0.595, 0.255, 0.850)
Au (0.828, 0.000, 0.828)
Au (0.595, 0.745, 0.340)



Entry 8:
## TmPd5Au (PBE)

Data for crystalline TmPd5Au at its relaxed geometry.

Calculated values
density = 11.77 g/cm3
E_tot = -0.19120 Ha/atom
magnetization = 0.00 μB per atom

a b c (Å): 6.946 6.946 8.205
angles (deg): 53.80 53.80 62.04
Sites, in units of the cell vectors:
Tm (0.318, 0.682, 0.250)
Tm (0.682, 0.318, 0.750)
Pd (0.788, 0.771, 0.971)
Pd (0.000, 0.500, 0.746)
Pd (0.771, 0.788, 0.471)
Pd (0.710, 0.290, 0.250)
Pd (0.500, 0.000, 0.754)
Pd (0.500, 0.000, 0.246)
Pd (0.290, 0.710, 0.750)
Pd (0.229, 0.212, 0.529)
Pd (0.000, 0.500, 0.254)
Pd (0.212, 0.229, 0.029)
Au (0.000, 0.000, 0.000)
Au (0.000, 0.000, 0.500)



Entry 9:
## TmPd3Au (PBE)

Data for crystalline TmPd3Au at its relaxed geometry.

Calculated values
density = 12.16 g/cm3
E_tot = -0.19242 Ha/atom
magnetization = 0.00 μB per atom

a b c (Å): 4.460 5.871 7.144
angles (deg): 90.00 90.00 90.00
Sites, in units of the cell vectors:
Tm (0.500, 0.000, 0.192)
Tm (0.000, 0.500, 0.808)
Pd (0.000, 0.725, 0.247)
Pd (0.500, 0.775, 0.753)
Pd (0.500, 0.225, 0.753)
Pd (0.000, 0.275, 0.247)
Pd (0.000, 0.000, 0.929)
Pd (0.500, 0.500, 0.071)
Au (0.000, 0.000, 0.553)
Au (0.500, 0.500, 0.447)



Entry 10:
## TmPd3Au7 (PBE)

Data for crystalline TmPd3Au7 at its relaxed geometry.

Calculated values
density = 14.34 g/cm3
E_tot = -0.14772 Ha/atom
magnetization = 0.00 μB per atom

a b c (Å): 5.455 7.385 7.385
angles (deg): 83.19 120.64 120.64
Sites, in units of the cell vectors:
Tm (0.500, 0.500, 0.500)
Pd (0.000, 0.769, 0.231)
Pd (0.500, 0.000, 0.000)
Pd (0.000, 0.231, 0.769)
Au (0.303, 0.184, 0.184)
Au (0.330, 0.067, 0.588)
Au (0.670, 0.412, 0.933)
Au (0.330, 0.588, 0.067)
Au (0.000, 0.500, 0.500)
Au (0.670, 0.933, 0.412)
Au (0.697, 0.816, 0.816)



Entry 11:
## Tm2Pd3Au (PBE)

Data for crystalline Tm2Pd3Au at its relaxed geometry.

Calculated values
density = 11.02 g/cm3
E_tot = -0.19491 Ha/atom
magnetization = 0.00 μB per atom

a b c (Å): 9.770 9.770 8.765
angles (deg): 123.87 123.87 90.00
Sites, in units of the cell vectors:
Tm (0.856, 0.665, 0.713)
Tm (0.394, 0.702, 0.787)
Tm (0.335, 0.144, 0.287)
Tm (0.298, 0.606, 0.213)
Tm (0.952, 0.144, 0.287)
Tm (0.915, 0.606, 0.213)
Tm (0.394, 0.085, 0.787)
Tm (0.856, 0.048, 0.713)
Pd (0.245, 0.755, 0.000)
Pd (0.125, 0.875, 0.250)
Pd (0.125, 0.375, 0.250)
Pd (0.755, 0.755, 0.000)
Pd (0.755, 0.245, 0.000)
Pd (0.005, 0.505, 0.500)
Pd (0.625, 0.875, 0.750)
Pd (0.125, 0.875, 0.750)
Pd (0.495, 0.995, 0.500)
Pd (0.495, 0.505, 0.500)
Pd (0.245, 0.245, 0.000)
Pd (0.005, 0.995, 0.500)
Au (0.365, 0.365, 0.730)
Au (0.635, 0.635, 0.270)
Au (0.615, 0.115, 0.230)
Au (0.885, 0.385, 0.770)



Entry 12:
## Tm2Pd4Au3 (PBE)

Data for crystalline Tm2Pd4Au3 at its relaxed geometry.

Calculated values
density = 13.83 g/cm3
E_tot = -0.18912 Ha/atom
magnetization = 0.00 μB per atom

a b c (Å): 4.227 5.043 8.770
angles (deg): 75.03 89.94 65.16
Sites, in units of the cell vectors:
Tm (0.331, 0.338, 0.779)
Tm (0.669, 0.662, 0.221)
Pd (0.666, 0.668, 0.893)
Pd (0.001, 0.999, 0.331)
Pd (0.999, 0.001, 0.669)
Pd (0.334, 0.332, 0.107)
Au (0.338, 0.323, 0.444)
Au (0.000, 0.000, 0.000)
Au (0.662, 0.677, 0.556)